Entry 1:
Below is a relaxed structure of KSb, with properties calculated at the PBE level.

Values from the calculation:
Formation energy from raw total energies   0.40 eV/atom
Total energy   -0.08133 hartree per atom

Cell lengths 6.226, 6.226, 7.199 Å; angles 90.00, 90.00, 120.00 degrees
Fractional coordinates of all 4 atoms:
K1 0.333 0.667 0.250
K2 0.667 0.333 0.750
Sb1 0.333 0.667 0.750
Sb2 0.667 0.333 0.250



Entry 2:
Below is a relaxed structure of PaTc2O6, with properties calculated at the PBE level.

Values from the calculation:
Formation energy from raw total energies   -2.08 eV/atom
Total energy   -0.32141 hartree per atom

Cell lengths 9.067, 9.067, 5.131 Å; angles 90.00, 90.00, 120.00 degrees
Fractional coordinates of all 27 atoms:
Pa1 0.000 0.000 0.000
Pa2 0.333 0.667 0.477
Pa3 0.667 0.333 0.523
Tc1 0.000 0.360 0.000
Tc2 0.000 0.640 0.000
Tc3 0.360 0.000 0.000
Tc4 0.360 0.360 0.000
Tc5 0.640 0.000 0.000
Tc6 0.640 0.640 0.000
O1 0.112 0.556 0.743
O2 0.125 0.249 0.809
O3 0.125 0.875 0.809
O4 0.224 0.448 0.211
O5 0.224 0.776 0.211
O6 0.249 0.125 0.191
O7 0.444 0.556 0.743
O8 0.444 0.888 0.743
O9 0.448 0.224 0.789
O10 0.552 0.776 0.211
O11 0.556 0.112 0.257
O12 0.556 0.444 0.257
O13 0.751 0.875 0.809
O14 0.776 0.224 0.789
O15 0.776 0.552 0.789
O16 0.875 0.125 0.191
O17 0.875 0.751 0.191
O18 0.888 0.444 0.257



Entry 3:
Below is a relaxed structure of PrGd2Cu, with properties calculated at the PBE level.

Values from the calculation:
Energy relative to the elements   -0.09 eV/atom
Total energy   -0.34346 hartree per atom

Cell lengths 3.564, 3.564, 8.800 Å; angles 90.00, 90.00, 90.00 degrees
Fractional coordinates of all 4 atoms:
Pr1 0.000 0.000 0.000
Gd1 0.500 0.500 0.306
Gd2 0.500 0.500 0.694
Cu1 0.000 0.000 0.500



Entry 4:
Below is a relaxed structure of NaLi2AlF6, with properties calculated at the PBE level.

Values from the calculation:
Formation energy from raw total energies   -2.97 eV/atom
Total energy   -0.18307 hartree per atom

Cell lengths 5.597, 5.597, 5.597 Å; angles 60.00, 60.00, 60.00 degrees
Fractional coordinates of all 10 atoms:
Na1 0.000 0.000 0.000
Li1 0.250 0.250 0.250
Li2 0.750 0.750 0.750
Al1 0.500 0.500 0.500
F1 0.271 0.271 0.729
F2 0.271 0.729 0.271
F3 0.271 0.729 0.729
F4 0.729 0.271 0.271
F5 0.729 0.271 0.729
F6 0.729 0.729 0.271



| no. | calculated density (g/cm3) |
| --- | --- |
| 1 | 2.2 |
| 2 | 7.1 |
| 3 | 7.7 |
| 4 | 2.4 |